VASP calculation (GGA-PBE) on a relaxed CsCaSeN2 crystal.

Geometry as POSCAR:
```
CsCaSeN2
1.0
4.449 0.000 0.000
0.000 4.449 0.000
0.000 0.000 6.997
Cs Ca Se N
1 1 1 2
Cartesian
0.000 0.000 0.000
2.224 2.224 3.499
0.000 0.000 3.499
0.000 2.224 0.000
2.224 0.000 0.000
```

Polymorph energy (0 for the lowest one)   712 meV/atom
Symmetry   P4/mmm (123)
Formation energy from raw total energies   1.38 eV per atom
D(E_F)   2.638 states/eV/cell



VASP calculation (GGA-PBE) on a relaxed CsCaSeN2 crystal.

Geometry as POSCAR:
```
CsCaSeN2
1.0
5.069 0.000 0.000
0.000 5.069 0.000
0.000 0.000 5.754
Cs Ca Se N
1 1 1 2
Cartesian
0.000 0.000 0.000
2.534 2.534 2.877
2.534 2.534 0.000
0.000 2.534 2.877
2.534 0.000 2.877
```

Polymorph energy (0 for the lowest one)   0 meV/atom
Symmetry   P4/mmm (123)
Formation energy from raw total energies   0.67 eV per atom
D(E_F)   3.238 states/eV/cell



VASP calculation (GGA-PBE) on a relaxed CsCaSe2N crystal.

Geometry as POSCAR:
```
CsCaSe2N
1.0
5.770 0.000 0.000
0.000 5.770 0.000
0.000 0.000 4.988
Cs Ca Se N
1 1 2 1
Cartesian
0.000 0.000 0.000
2.885 2.885 2.494
0.000 2.885 2.494
2.885 0.000 2.494
2.885 2.885 0.000
```

Polymorph energy (0 for the lowest one)   0 meV/atom
Symmetry   P4/mmm (123)
Formation energy from raw total energies   -0.03 eV per atom
D(E_F)   4.852 states/eV/cell